TlRuPt2 | GGA-PBE | optimized geometry

abc: 4.5869 4.5869 4.5869
angles: 60.00 60.00 60.00
Site moments in Bohr magnetons follow the coordinates.
Fractional positions:
1 Pt 0.0000 0.0000 0.0000  0.17
2 Pt 0.2500 0.2500 0.2500  0.34
3 Ru 0.5000 0.5000 0.5000  1.41
4 Tl 0.7500 0.7500 0.7500  -0.02

Summary:
* E: -5.63 eV per atom
* formation energy from the elements: 0.304 eV per atom
* volume: 17.1 Å³ per atom

***

Be2CuPd2 | GGA-PBE | optimized geometry

abc: 3.9441 3.9441 5.0705
angles: 67.11 67.11 90.00
Fractional positions:
1 Be 0.3719 0.3719 0.2563
2 Be 0.6281 0.6281 0.7437
3 Cu 0.0000 0.0000 0.0000
4 Pd 0.7500 0.2500 0.5000
5 Pd 0.2500 0.7500 0.5000

Summary:
* E: -4.44 eV per atom
* formation energy from the elements: -0.056 eV per atom
* volume: 13.2 Å³ per atom